[1]
First-principles (GGA+U) data for crystalline ReMoWF at its relaxed geometry, as listed in the Alexandria database.

Results
excess energy over the best structure of this formula in the dataset = 0.0 meV/atom
total magnetization = 0.0 μB per formula unit

Unit cell a=4.8592 b=2.9058 c=8.5784 alpha=90.00 beta=99.09 gamma=90.00
Space group Cm (No. 8)
Asymmetric unit:
Re 0.0000 0.0000 0.0000 x2
Mo 0.2789 0.0000 0.7462 x2
W 0.2972 0.5000 0.2736 x2
F 0.3937 0.5000 0.5625 x2

[2]
First-principles (GGA+U) data for crystalline ReMoWF at its relaxed geometry, as listed in the Alexandria database.

Results
excess energy over the best structure of this formula in the dataset = 285.4 meV/atom
total magnetization = 0.0 μB per formula unit

Unit cell a=2.6983 b=4.6825 c=5.2983 alpha=71.10 beta=79.35 gamma=89.47
Space group P1 (No. 1)
Asymmetric unit:
Re 0.0000 0.0000 0.0000 x1
Mo 0.4927 0.9060 0.5755 x1
W 0.2717 0.4275 0.2041 x1
F 0.0309 0.5368 0.5881 x1

[3]
First-principles (GGA+U) data for crystalline ReMoWF at its relaxed geometry, as listed in the Alexandria database.

Results
excess energy over the best structure of this formula in the dataset = 301.3 meV/atom
total magnetization = 0.0 μB per formula unit

Unit cell a=3.0363 b=4.3775 c=9.6298 alpha=90.00 beta=90.00 gamma=90.00
Space group Imm2 (No. 44)
Asymmetric unit:
Re 0.0000 0.0000 0.0000 x2
Mo 0.0000 0.0000 0.5159 x2
W 0.0000 0.5000 0.2663 x2
F 0.0000 0.0000 0.2664 x2

[4]
First-principles (GGA+U) data for crystalline ReMoWF at its relaxed geometry, as listed in the Alexandria database.

Results
excess energy over the best structure of this formula in the dataset = 205.2 meV/atom
total magnetization = 1.5 μB per formula unit

Unit cell a=10.7731 b=3.0420 c=4.3618 alpha=90.00 beta=113.81 gamma=90.00
Space group Cm (No. 8)
Asymmetric unit:
Re 0.0000 0.0000 0.0000 x2
Mo 0.2536 0.0000 0.7544 x2
W 0.4964 0.0000 0.4968 x2
F 0.2643 0.0000 0.2649 x2

[5]
First-principles (GGA+U) data for crystalline MoRhF3 at its relaxed geometry, as listed in the Alexandria database.

Results
excess energy over the best structure of this formula in the dataset = 291.1 meV/atom
total magnetization = 4.5 μB per formula unit

Unit cell a=4.2522 b=4.2522 c=4.2522 alpha=90.00 beta=90.00 gamma=90.00
Space group Pm-3m (No. 221)
Asymmetric unit:
Mo 0.0000 0.0000 0.0000 x1
Rh 0.5000 0.5000 0.5000 x1
F 0.0000 0.5000 0.5000 x3

[6]
First-principles (GGA+U) data for crystalline MoRhF3 at its relaxed geometry, as listed in the Alexandria database.

Results
excess energy over the best structure of this formula in the dataset = 0.0 meV/atom
total magnetization = 4.3 μB per formula unit

Unit cell a=4.2604 b=4.2604 c=4.2604 alpha=90.00 beta=90.00 gamma=90.00
Space group Pm-3m (No. 221)
Asymmetric unit:
Mo 0.0000 0.0000 0.0000 x1
Rh 0.5000 0.5000 0.5000 x1
F 0.0000 0.0000 0.5000 x3

[7]
First-principles (GGA+U) data for crystalline MoRhF2 at its relaxed geometry, as listed in the Alexandria database.

Results
excess energy over the best structure of this formula in the dataset = 0.0 meV/atom
total magnetization = 1.4 μB per formula unit

Unit cell a=2.7392 b=2.7392 c=29.9161 alpha=90.00 beta=90.00 gamma=120.00
Space group R-3m (No. 166, hexagonal axes)
Asymmetric unit:
Mo 0.0000 0.0000 0.0000 x3
Rh 0.0000 0.0000 0.5000 x3
F 0.0000 0.0000 0.3841 x6

[8]
First-principles (GGA+U) data for crystalline MoRhF2 at its relaxed geometry, as listed in the Alexandria database.

Results
excess energy over the best structure of this formula in the dataset = 64.1 meV/atom
total magnetization = 3.0 μB per formula unit

Unit cell a=3.8568 b=3.8568 c=15.5360 alpha=90.00 beta=90.00 gamma=90.00
Space group I-42d (No. 122)
Asymmetric unit:
Mo 0.0000 0.0000 0.0000 x4
Rh 0.0000 0.0000 0.5000 x4
F 0.2399 0.2500 0.1250 x8

[9]
First-principles (GGA+U) data for crystalline Mo2RhF4 at its relaxed geometry, as listed in the Alexandria database.

Results
raw total energy = -4.816 eV per atom
total magnetization = 11.0 μB per formula unit

Unit cell a=4.4697 b=4.4697 c=12.1325 alpha=90.00 beta=90.00 gamma=90.00
Space group I4/mmm (No. 139)
Asymmetric unit:
Mo 0.0000 0.0000 0.1274 x4
Rh 0.0000 0.0000 0.5000 x2
F 0.0000 0.0000 0.3073 x4
F 0.0000 0.5000 0.0000 x4

[10]
First-principles (GGA+U) data for crystalline MoRhF2 at its relaxed geometry, as listed in the Alexandria database.

Results
excess energy over the best structure of this formula in the dataset = 681.7 meV/atom
total magnetization = 0.4 μB per formula unit

Unit cell a=5.9018 b=5.9018 c=5.9018 alpha=90.00 beta=90.00 gamma=90.00
Space group Fm-3m (No. 225)
Asymmetric unit:
Mo 0.0000 0.0000 0.0000 x4
Rh 0.0000 0.0000 0.5000 x4
F 0.2500 0.2500 0.2500 x8

[11]
First-principles (GGA+U) data for crystalline Mo3RhF at its relaxed geometry, as listed in the Alexandria database.

Results
excess energy over the best structure of this formula in the dataset = 233.9 meV/atom
total magnetization = 12.1 μB per formula unit

Unit cell a=5.1352 b=5.1352 c=5.1352 alpha=90.00 beta=90.00 gamma=90.00
Space group Pm-3m (No. 221)
Asymmetric unit:
Mo 0.0000 0.0000 0.5000 x3
Rh 0.0000 0.0000 0.0000 x1
F 0.5000 0.5000 0.5000 x1

[12]
First-principles (GGA+U) data for crystalline Mo3RhF at its relaxed geometry, as listed in the Alexandria database.

Results
excess energy over the best structure of this formula in the dataset = 0.0 meV/atom
total magnetization = 1.0 μB per formula unit

Unit cell a=4.2107 b=4.2107 c=4.2107 alpha=90.00 beta=90.00 gamma=90.00
Space group Pm-3m (No. 221)
Asymmetric unit:
Mo 0.0000 0.0000 0.5000 x3
Rh 0.5000 0.5000 0.5000 x1
F 0.0000 0.0000 0.0000 x1

[13]
First-principles (GGA+U) data for crystalline ScMoRhF2 at its relaxed geometry, as listed in the Alexandria database.

Results
raw total energy = -6.350 eV per atom
total magnetization = 3.7 μB per formula unit

Unit cell a=3.9640 b=3.9640 c=5.6476 alpha=90.00 beta=90.00 gamma=90.00
Space group P4/mmm (No. 123)
Asymmetric unit:
Sc 0.0000 0.0000 0.0000 x1
Mo 0.5000 0.5000 0.5000 x1
Rh 0.0000 0.0000 0.5000 x1
F 0.0000 0.5000 0.0000 x2

[14]
First-principles (GGA+U) data for crystalline Mo2RhSeF at its relaxed geometry, as listed in the Alexandria database.

Results
raw total energy = -4.897 eV per atom
total magnetization = 8.0 μB per formula unit

Unit cell a=5.2187 b=5.2187 c=3.9753 alpha=90.00 beta=90.00 gamma=90.00
Space group P4/mmm (No. 123)
Asymmetric unit:
Mo 0.0000 0.5000 0.0000 x2
Rh 0.0000 0.0000 0.0000 x1
Se 0.5000 0.5000 0.5000 x1
F 0.0000 0.0000 0.5000 x1

[15]
First-principles (GGA+U) data for crystalline SnMoRh2F at its relaxed geometry, as listed in the Alexandria database.

Results
raw total energy = -5.093 eV per atom
total magnetization = 3.1 μB per formula unit

Unit cell a=4.9546 b=4.9546 c=4.2013 alpha=90.00 beta=90.00 gamma=90.00
Space group P4/mmm (No. 123)
Asymmetric unit:
Sn 0.0000 0.0000 0.0000 x1
Mo 0.5000 0.5000 0.5000 x1
Rh 0.0000 0.5000 0.0000 x2
F 0.0000 0.0000 0.5000 x1

[16]
First-principles (GGA+U) data for crystalline SrMoRhF2 at its relaxed geometry, as listed in the Alexandria database.

Results
raw total energy = -4.773 eV per atom
total magnetization = 5.0 μB per formula unit

Unit cell a=4.4028 b=4.4028 c=8.2629 alpha=90.00 beta=90.00 gamma=90.00
Space group P4/mmm (No. 123)
Asymmetric unit:
Sr 0.0000 0.0000 0.0000 x1
Mo 0.0000 0.0000 0.5000 x1
Rh 0.5000 0.5000 0.5000 x1
F 0.0000 0.5000 0.0000 x2

[17]
First-principles (GGA+U) data for crystalline TiMoRh2F at its relaxed geometry, as listed in the Alexandria database.

Results
raw total energy = -6.473 eV per atom
total magnetization = 3.7 μB per formula unit

Unit cell a=4.7221 b=4.7221 c=3.8472 alpha=90.00 beta=90.00 gamma=90.00
Space group P4/mmm (No. 123)
Asymmetric unit:
Ti 0.0000 0.0000 0.0000 x1
Mo 0.5000 0.5000 0.5000 x1
Rh 0.0000 0.5000 0.0000 x2
F 0.0000 0.0000 0.5000 x1

[18]
First-principles (GGA+U) data for crystalline MoRuF2 at its relaxed geometry, as listed in the Alexandria database.

Results
excess energy over the best structure of this formula in the dataset = 0.0 meV/atom
total magnetization = 4.1 μB per formula unit

Unit cell a=2.8212 b=2.8212 c=23.8956 alpha=90.00 beta=90.00 gamma=120.00
Space group R-3m (No. 166, hexagonal axes)
Asymmetric unit:
Mo 0.0000 0.0000 0.0000 x3
Ru 0.0000 0.0000 0.5000 x3
F 0.0000 0.0000 0.4140 x6

[19]
First-principles (GGA+U) data for crystalline MoRuF3 at its relaxed geometry, as listed in the Alexandria database.

Results
excess energy over the best structure of this formula in the dataset = 564.3 meV/atom
total magnetization = 0.0 μB per formula unit

Unit cell a=4.1753 b=4.1753 c=4.1753 alpha=90.00 beta=90.00 gamma=90.00
Space group Pm-3m (No. 221)
Asymmetric unit:
Mo 0.0000 0.0000 0.0000 x1
Ru 0.5000 0.5000 0.5000 x1
F 0.0000 0.0000 0.5000 x3

[20]
First-principles (GGA+U) data for crystalline MoRuF2 at its relaxed geometry, as listed in the Alexandria database.

Results
excess energy over the best structure of this formula in the dataset = 736.6 meV/atom
total magnetization = 1.6 μB per formula unit

Unit cell a=5.9357 b=5.9357 c=5.9357 alpha=90.00 beta=90.00 gamma=90.00
Space group Fm-3m (No. 225)
Asymmetric unit:
Mo 0.0000 0.0000 0.0000 x4
Ru 0.0000 0.0000 0.5000 x4
F 0.2500 0.2500 0.2500 x8

[21]
First-principles (GGA+U) data for crystalline MoRuF2 at its relaxed geometry, as listed in the Alexandria database.

Results
excess energy over the best structure of this formula in the dataset = 96.8 meV/atom
total magnetization = 3.3 μB per formula unit

Unit cell a=2.7862 b=2.7862 c=27.6757 alpha=90.00 beta=90.00 gamma=120.00
Space group R-3m (No. 166, hexagonal axes)
Asymmetric unit:
Mo 0.0000 0.0000 0.0000 x3
Ru 0.0000 0.0000 0.5000 x3
F 0.0000 0.0000 0.0695 x6

[22]
First-principles (GGA+U) data for crystalline MoRuF2 at its relaxed geometry, as listed in the Alexandria database.

Results
excess energy over the best structure of this formula in the dataset = 33.3 meV/atom
total magnetization = 1.8 μB per formula unit

Unit cell a=3.8145 b=3.8145 c=15.5872 alpha=90.00 beta=90.00 gamma=90.00
Space group I-42d (No. 122)
Asymmetric unit:
Mo 0.0000 0.0000 0.0000 x4
Ru 0.0000 0.0000 0.5000 x4
F 0.2474 0.2500 0.1250 x8

[23]
First-principles (GGA+U) data for crystalline Mo2RuF at its relaxed geometry, as listed in the Alexandria database.

Results
excess energy over the best structure of this formula in the dataset = 116.3 meV/atom
total magnetization = 0.0 μB per formula unit

Unit cell a=6.1277 b=6.1277 c=6.1277 alpha=90.00 beta=90.00 gamma=90.00
Space group Fm-3m (No. 225)
Asymmetric unit:
Mo 0.2500 0.2500 0.2500 x8
Ru 0.0000 0.0000 0.0000 x4
F 0.0000 0.0000 0.5000 x4

[24]
First-principles (GGA+U) data for crystalline MoRu3F at its relaxed geometry, as listed in the Alexandria database.

Results
excess energy over the best structure of this formula in the dataset = 726.5 meV/atom
total magnetization = 4.0 μB per formula unit

Unit cell a=4.7314 b=4.7314 c=4.7314 alpha=90.00 beta=90.00 gamma=90.00
Space group Pm-3m (No. 221)
Asymmetric unit:
Mo 0.0000 0.0000 0.0000 x1
Ru 0.0000 0.0000 0.5000 x3
F 0.5000 0.5000 0.5000 x1

[25]
First-principles (GGA+U) data for crystalline MoRu3F at its relaxed geometry, as listed in the Alexandria database.

Results
excess energy over the best structure of this formula in the dataset = 0.0 meV/atom
total magnetization = 0.0 μB per formula unit

Unit cell a=4.1603 b=4.1603 c=4.1603 alpha=90.00 beta=90.00 gamma=90.00
Space group Pm-3m (No. 221)
Asymmetric unit:
Mo 0.0000 0.0000 0.0000 x1
Ru 0.0000 0.5000 0.5000 x3
F 0.5000 0.5000 0.5000 x1

[26]
First-principles (GGA+U) data for crystalline Mo2RuF at its relaxed geometry, as listed in the Alexandria database.

Results
excess energy over the best structure of this formula in the dataset = 0.0 meV/atom
total magnetization = 2.8 μB per formula unit

Unit cell a=6.3883 b=6.3883 c=6.1211 alpha=90.00 beta=90.00 gamma=90.00
Space group I-42d (No. 122)
Asymmetric unit:
Mo 0.2125 0.2500 0.1250 x8
Ru 0.0000 0.0000 0.5000 x4
F 0.0000 0.0000 0.0000 x4

[27]
First-principles (GGA+U) data for crystalline MoRuF3 at its relaxed geometry, as listed in the Alexandria database.

Results
excess energy over the best structure of this formula in the dataset = 0.0 meV/atom
total magnetization = 5.7 μB per formula unit

Unit cell a=4.2339 b=4.2339 c=4.2339 alpha=90.00 beta=90.00 gamma=90.00
Space group Pm-3m (No. 221)
Asymmetric unit:
Mo 0.0000 0.0000 0.0000 x1
Ru 0.5000 0.5000 0.5000 x1
F 0.0000 0.5000 0.5000 x3

[28]
First-principles (GGA+U) data for crystalline Tl2MoRuF at its relaxed geometry, as listed in the Alexandria database.

Results
raw total energy = -4.301 eV per atom
total magnetization = 3.3 μB per formula unit

Unit cell a=5.3038 b=5.3038 c=4.8741 alpha=90.00 beta=90.00 gamma=90.00
Space group P4/mmm (No. 123)
Asymmetric unit:
Tl 0.0000 0.5000 0.0000 x2
Mo 0.0000 0.0000 0.5000 x1
Ru 0.0000 0.0000 0.0000 x1
F 0.5000 0.5000 0.5000 x1

In the order shown, the computed V values come out to 119.6 62.2 128.0 130.8 76.9 77.3 194.4 231.1 242.4 205.6 135.4 74.7 88.7 108.3 103.1 160.2 85.8 164.7 72.8 209.1 186.1 226.8 230.1 105.9 72.0 249.8 75.9 137.1 Å³ per cell.